## SiHg2Pb (GGA-PBE)

Data for crystalline SiHg2Pb at its relaxed geometry.

E_form (uncorrected) = 25.5 kJ/mol of atoms
Volume = 107.02 Å³/f.u.
DFT total energy = -2.17 eV per atom
Spin magnetization = 0.00 Bohr magnetons per cell

a = 4.1916 Å, b = 4.1916 Å, c = 7.4933 Å
α = 72.87°, β = 72.87°, γ = 59.80°
Fractional positions:
Hg  0.7406  0.7406  0.7722
Pb  0.5132  0.5132  0.4504
Hg  0.9864  0.9864  0.0505
Si  0.2598  0.2598  0.2269



## EuGaAu2 (GGA-PBE)

Data for crystalline EuGaAu2 at its relaxed geometry.

Volume = 88.29 Å³/f.u.
Energy relative to the elements = -200 kJ/mol of formula units
DFT total energy = -5.48 eV per atom
Spin magnetization = 6.92 Bohr magnetons per cell

a = 4.9981 Å, b = 4.9981 Å, c = 4.9981 Å
α = 60.00°, β = 60.00°, γ = 60.00°
Fractional positions:
Ga  0.2500  0.2500  0.2500
Au  0.5000  0.5000  0.5000
Eu  0.7500  0.7500  0.7500
Au  0.0000  0.0000  0.0000



## RbNpPO6 (GGA-PBE)

Data for crystalline RbNpPO6 at its relaxed geometry.

E_form (uncorrected) = -210.5 kJ/mol of atoms
Volume = 147.11 Å³/f.u.
DFT total energy = -7.63 eV per atom
Spin magnetization = 1.00 Bohr magnetons per cell

a = 5.1775 Å, b = 5.1774 Å, c = 6.3370 Å
α = 90.01°, β = 89.98°, γ = 60.00°
Fractional positions:
P  0.3333  0.3333  0.5000
Np  0.6666  0.6667  0.5000
O  0.3489  0.0517  0.6577
O  0.5995  0.0515  0.3423
O  0.0514  0.5995  0.6577
O  0.3491  0.5993  0.3423
Rb  0.0000  0.0000  0.0000
O  0.5992  0.3491  0.6577
O  0.0517  0.3489  0.3423



## Y2ZrMn (GGA-PBE)

Data for crystalline Y2ZrMn at its relaxed geometry.

Volume = 101.30 Å³/f.u.
Energy relative to the elements = 109 kJ/mol of formula units
DFT total energy = -7.38 eV per atom
Spin magnetization = 1.77 Bohr magnetons per cell

a = 4.9260 Å, b = 4.9260 Å, c = 4.1747 Å
α = 90.00°, β = 90.00°, γ = 90.00°
Fractional positions:
Y  0.5000  0.5000  0.0000
Zr  0.5000  0.0000  0.5000
Mn  0.0000  0.5000  0.5000
Y  0.0000  0.0000  0.0000